Model a:
Material: NdTh2Pa
Method: DFT, PBE
State: optimized geometry

It has space group P4/mmm (No. 123), with a = 5.037 Å, b = 5.037 Å, c = 4.796 Å, α = 90.00°, β = 90.00° and γ = 90.00°. The distinct sites, in fractional coordinates, are Nd at (0.000, 0.000, 0.000), Th at (0.000, 0.500, 0.500) and Pa at (0.500, 0.500, 0.000).

Its crystal system is tetragonal. The volume is 30.42 A^3/atom.

***

Model b:
Material: NdTh2Pa
Method: DFT, PBE
State: optimized geometry

It has space group Fm-3m (No. 225), with a = 7.884 Å, b = 7.884 Å, c = 7.884 Å, α = 90.00°, β = 90.00° and γ = 90.00°. The distinct sites, in fractional coordinates, are Nd at (0.000, 0.000, 0.000), Th at (0.250, 0.250, 0.250) and Pa at (0.000, 0.000, 0.500).

Its crystal system is cubic. The volume is 30.62 A^3/atom.

***

It turns out model a is the most stable, with the second structure 10.8 kJ/mol of atoms higher.

***

Model a:
Material: NdThPa
Method: DFT, PBE
State: optimized geometry

It has space group I4mm (No. 107), with a = 3.384 Å, b = 3.384 Å, c = 15.805 Å, α = 90.00°, β = 90.00° and γ = 90.00°. The distinct sites, in fractional coordinates, are Nd at (0.000, 0.000, 0.000), Th at (0.000, 0.000, 0.683) and Pa at (0.000, 0.000, 0.337).

Its crystal system is tetragonal. The volume is 30.17 A^3/atom.

***

Model b:
Material: NdThPa
Method: DFT, PBE
State: optimized geometry

It has space group P-6m2 (No. 187), with a = 5.5810 Å, b = 5.5810 Å, c = 3.4262 Å, α = 90.00°, β = 90.00° and γ = 120.00°. The distinct sites, in fractional coordinates, are Nd at (0.0000, 0.0000, 0.0000), Th at (0.3333, 0.6667, 0.5000) and Pa at (0.6667, 0.3333, 0.5000).

Its crystal system is hexagonal. The volume is 30.81 A^3/atom.

***

Model c:
Material: NdThPa
Method: DFT, PBE
State: optimized geometry

It has space group Fddd (No. 70, origin choice 2), with a = 6.423 Å, b = 11.307 Å, c = 20.817 Å, α = 90.00°, β = 90.00° and γ = 90.00°. The distinct sites, in fractional coordinates, are Nd at (0.125, 0.125, 0.048), Th at (0.125, 0.125, 0.499) and Pa at (0.125, 0.291, 0.625).

Its crystal system is orthorhombic. The volume is 31.49 A^3/atom.

***

It turns out model a is the most stable, with the second structure 13.9 kJ/mol of atoms higher.

***

Model a:
Material: NdTm2Pa
Method: DFT, PBE
State: optimized geometry

It has space group P4/mmm (No. 123), with a = 3.431 Å, b = 3.431 Å, c = 10.072 Å, α = 90.00°, β = 90.00° and γ = 90.00°. The distinct sites, in fractional coordinates, are Nd at (0.000, 0.000, 0.000), Tm at (0.500, 0.500, 0.271) and Pa at (0.000, 0.000, 0.500).

Its crystal system is tetragonal. The volume is 29.64 A^3/atom.

***

Model b:
Material: NdTm2Pa
Method: DFT, PBE
State: optimized geometry

It has space group R-3m (No. 166, hexagonal axes), with a = 3.3263 Å, b = 3.3263 Å, c = 36.7934 Å, α = 90.00°, β = 90.00° and γ = 120.00°. The distinct sites, in fractional coordinates, are Nd at (0.0000, 0.0000, 0.0000), Tm at (0.0000, 0.0000, 0.4135) and Pa at (0.0000, 0.0000, 0.5000).

Its crystal system is trigonal. The volume is 29.38 A^3/atom.

***

Model c:
Material: NdTm2Pa
Method: DFT, PBE
State: optimized geometry

It has space group R3m (No. 160, hexagonal axes), with a = 3.4250 Å, b = 3.4250 Å, c = 34.6227 Å, α = 90.00°, β = 90.00° and γ = 120.00°. The distinct sites, in fractional coordinates, are Nd at (0.0000, 0.0000, 0.0000), Tm at (0.0000, 0.0000, 0.4206), Tm at (0.0000, 0.0000, 0.5800) and Pa at (0.0000, 0.0000, 0.8339).

Its crystal system is trigonal. The volume is 29.31 A^3/atom.

***

It turns out model c is the most stable, with the second structure 0.8 kJ/mol of atoms higher.

***

Model a:
Material: NdPaZn2
Method: DFT, PBE
State: optimized geometry

It has space group P4/mmm (No. 123), with a = 3.501 Å, b = 3.501 Å, c = 7.569 Å, α = 90.00°, β = 90.00° and γ = 90.00°. The distinct sites, in fractional coordinates, are Nd at (0.000, 0.000, 0.000), Pa at (0.000, 0.000, 0.500) and Zn at (0.500, 0.500, 0.258).

Its crystal system is tetragonal. The volume is 23.19 A^3/atom.

***

Model b:
Material: NdPaZn2
Method: DFT, PBE
State: optimized geometry

It has space group R-3m (No. 166, hexagonal axes), with a = 3.3266 Å, b = 3.3266 Å, c = 29.6427 Å, α = 90.00°, β = 90.00° and γ = 120.00°. The distinct sites, in fractional coordinates, are Nd at (0.0000, 0.0000, 0.0000), Pa at (0.0000, 0.0000, 0.5000) and Zn at (0.0000, 0.0000, 0.2483).

Its crystal system is trigonal. The volume is 23.67 A^3/atom.

***

It turns out model a is the most stable, with the second structure 13.2 kJ/mol of atoms higher.